Entry from the Open Quantum Materials Database: a relaxed structure of DySc2Cu4Ge4 (PBE).

Unit cell a=7.797 b=7.797 c=7.797 alpha=149.98 beta=129.35 gamma=60.01
Sites, in units of the cell vectors:
Cu (0.636, 0.329, 0.307)
Cu (0.978, 0.671, 0.307)
Cu (0.022, 0.329, 0.693)
Cu (0.364, 0.671, 0.693)
Dy (0.000, 0.000, 0.000)
Ge (0.221, 0.221, 0.000)
Ge (0.779, 0.779, 0.000)
Ge (0.687, 0.500, 0.187)
Ge (0.313, 0.500, 0.813)
Sc (0.627, 0.127, 0.500)
Sc (0.373, 0.873, 0.500)

Summary:
- space group = Immm, No. 71
- total energy (eV/atom) = -5.20

---

Entry from the Open Quantum Materials Database: a relaxed structure of DySc2Cu4Si2Ge2 (PBE).

Unit cell a=7.725 b=7.725 c=7.725 alpha=150.06 beta=129.17 gamma=60.12
Sites, in units of the cell vectors:
Cu (0.631, 0.324, 0.307)
Cu (0.984, 0.676, 0.307)
Cu (0.016, 0.324, 0.693)
Cu (0.369, 0.676, 0.693)
Dy (0.000, 0.000, 0.000)
Ge (0.688, 0.500, 0.188)
Ge (0.312, 0.500, 0.812)
Sc (0.627, 0.127, 0.500)
Sc (0.373, 0.873, 0.500)
Si (0.221, 0.221, 0.000)
Si (0.779, 0.779, 0.000)

Summary:
- space group = Immm, No. 71
- offset from the most stable computed form (meV per atom) = 0

---

Entry from the Open Quantum Materials Database: a relaxed structure of DySc2Cu4Si2Ge2 (PBE).

Unit cell a=7.731 b=7.731 c=7.731 alpha=149.83 beta=129.36 gamma=60.08
Sites, in units of the cell vectors:
Cu (0.641, 0.334, 0.307)
Cu (0.973, 0.666, 0.307)
Cu (0.027, 0.334, 0.693)
Cu (0.359, 0.666, 0.693)
Dy (0.000, 0.000, 0.000)
Ge (0.222, 0.222, 0.000)
Ge (0.778, 0.778, 0.000)
Sc (0.625, 0.125, 0.500)
Sc (0.375, 0.875, 0.500)
Si (0.680, 0.500, 0.180)
Si (0.320, 0.500, 0.820)

Summary:
- space group = Immm, No. 71
- offset from the most stable computed form (meV per atom) = 15